The following is a DFT calculation (GGA-PBE) of crystalline ReSe at its relaxed geometry.

a b c (Å): 2.9897 5.7528 9.3103
angles (deg): 93.34 98.96 90.00
Positions (direct):
Re  0.2032  0.1172  0.4034
Re  0.2049  0.6137  0.4071
Re  0.7951  0.3863  0.5929
Re  0.7968  0.8828  0.5966
Se  0.0950  0.8430  0.1803
Se  0.3791  0.6511  0.7661
Se  0.6209  0.3489  0.2339
Se  0.9050  0.1570  0.8197

Computed properties:
raw formation energy = -128 meV per atom
total moment = 0.00 μB per cell
relative energy among the computed polymorphs = 0 meV/atom
crystal system = triclinic


The following is a DFT calculation (GGA-PBE) of crystalline ReSe2 at its relaxed geometry.

a b c (Å): 7.0047 7.0047 7.0047
angles (deg): 154.92 154.92 35.76
Positions (direct):
Re  0.0000  0.0000  0.0000
Se  0.3827  0.3827  0.0000
Se  0.6173  0.6173  0.0000

Computed properties:
raw formation energy = 56 meV per atom
total moment = 0.00 μB per cell
crystal system = tetragonal


The following is a DFT calculation (GGA-PBE) of crystalline ReSe at its relaxed geometry.

a b c (Å): 3.8664 6.0914 6.0914
angles (deg): 130.25 90.00 90.00
Positions (direct):
Re  0.0000  0.0000  0.0000
Re  0.5000  0.1906  0.7900
Re  0.5000  0.7900  0.1906
Se  0.0000  0.1489  0.4758
Se  0.0000  0.4758  0.1489
Se  0.5000  0.7139  0.7139

Computed properties:
raw formation energy = 430 meV per atom
total moment = 0.00 μB per cell
relative energy among the computed polymorphs = 558 meV/atom
crystal system = orthorhombic


The following is a DFT calculation (GGA-PBE) of crystalline Re4Se5 at its relaxed geometry.

a b c (Å): 7.4846 7.4846 7.4846
angles (deg): 92.21 92.21 157.34
Positions (direct):
Re  0.0000  0.3532  0.3532
Re  0.0000  0.6468  0.6468
Re  0.3532  0.0000  0.3532
Re  0.6468  0.0000  0.6468
Se  0.0000  0.0000  0.0000
Se  0.3390  0.3390  0.6779
Se  0.3390  0.6610  0.0000
Se  0.6610  0.3390  0.0000
Se  0.6610  0.6610  0.3221

Computed properties:
raw formation energy = 763 meV per atom
total moment = 0.00 μB per cell
relative energy among the computed polymorphs = 0 meV/atom
crystal system = tetragonal


The following is a DFT calculation (GGA-PBE) of crystalline ReSe at its relaxed geometry.

a b c (Å): 4.6221 4.6221 7.5439
angles (deg): 90.00 90.00 120.00
Positions (direct):
Re  0.3333  0.6667  0.0789
Re  0.3333  0.6667  0.4211
Re  0.6667  0.3333  0.5789
Re  0.6667  0.3333  0.9211
Se  0.0000  0.0000  0.2500
Se  0.0000  0.0000  0.7500
Se  0.3333  0.6667  0.7500
Se  0.6667  0.3333  0.2500

Computed properties:
raw formation energy = 1223 meV per atom
total moment = 0.00 μB per cell
relative energy among the computed polymorphs = 1351 meV/atom
crystal system = hexagonal


The following is a DFT calculation (GGA-PBE) of crystalline ReSe at its relaxed geometry.

a b c (Å): 3.1092 3.1093 9.5207
angles (deg): 82.47 81.93 60.01
Positions (direct):
Re  0.1340  0.1402  0.1067
Re  0.8660  0.8598  0.8933
Se  0.2568  0.2397  0.7059
Se  0.7432  0.7603  0.2941

Computed properties:
raw formation energy = -91 meV per atom
total moment = 0.00 μB per cell
relative energy among the computed polymorphs = 37 meV/atom
crystal system = triclinic


The following is a DFT calculation (GGA-PBE) of crystalline ReSe at its relaxed geometry.

a b c (Å): 5.2726 5.2726 6.3743
angles (deg): 112.70 112.70 31.90
Positions (direct):
Re  0.1403  0.1403  0.4984
Re  0.8597  0.8597  0.5016
Se  0.4297  0.4297  0.2277
Se  0.5703  0.5703  0.7723

Computed properties:
raw formation energy = 357 meV per atom
total moment = 0.00 μB per cell
relative energy among the computed polymorphs = 485 meV/atom
crystal system = monoclinic


The following is a DFT calculation (GGA-PBE) of crystalline ReSe at its relaxed geometry.

a b c (Å): 7.8769 7.8769 7.8769
angles (deg): 92.31 92.31 156.83
Positions (direct):
Re  0.1574  0.7247  0.8821
Re  0.2753  0.1574  0.4326
Re  0.7247  0.8426  0.5674
Re  0.8426  0.2753  0.1179
Se  0.0661  0.2860  0.3521
Se  0.2860  0.9339  0.2199
Se  0.7140  0.0661  0.7801
Se  0.9339  0.7140  0.6479

Computed properties:
raw formation energy = 454 meV per atom
total moment = 0.00 μB per cell
relative energy among the computed polymorphs = 582 meV/atom
crystal system = tetragonal